Run P
An optimized crystal structure of Hf3ZnN. Source: Alexandria via LeMat-Bulk, functional PBE-GGA.

Results
Space group: Cmcm, No. 63
Fermi-level density of states, states/eV/cell: 7.3

a = 5.899 Å, b = 5.899 Å, c = 8.828 Å
α = 90.00°, β = 90.00°, γ = 147.40°
Fractional positions:
1 Hf 0.045 0.955 0.750
2 Hf 0.372 0.628 0.546
3 Hf 0.372 0.628 0.954
4 Hf 0.628 0.372 0.046
5 Hf 0.628 0.372 0.454
6 Hf 0.955 0.045 0.250
7 Zn 0.255 0.745 0.250
8 Zn 0.745 0.255 0.750
9 N 0.000 0.000 0.000
10 N 0.000 0.000 0.500

Run Q
An optimized crystal structure of Hf3ZnN. Source: Alexandria via LeMat-Bulk, functional PBE-GGA.

Results
Space group: C2/m, No. 12
Fermi-level density of states, states/eV/cell: 3.2

a = 5.622 Å, b = 5.622 Å, c = 7.745 Å
α = 110.87°, β = 110.87°, γ = 47.80°
Fractional positions:
1 Hf 0.110 0.110 0.204
2 Hf 0.149 0.149 0.655
3 Hf 0.358 0.358 0.069
4 Hf 0.642 0.642 0.931
5 Hf 0.851 0.851 0.345
6 Hf 0.890 0.890 0.796
7 Zn 0.403 0.403 0.568
8 Zn 0.597 0.597 0.432
9 N 0.121 0.121 0.924
10 N 0.879 0.879 0.076

Run R
An optimized crystal structure of Hf3ZnN. Source: Alexandria via LeMat-Bulk, functional PBE-GGA.

Results
Space group: Pm-3m, No. 221
Fermi-level density of states, states/eV/cell: 2.8

a = 4.391 Å, b = 4.391 Å, c = 4.391 Å
α = 90.00°, β = 90.00°, γ = 90.00°
Fractional positions:
1 Hf 0.000 0.000 0.500
2 Hf 0.000 0.500 0.000
3 Hf 0.500 0.000 0.000
4 Zn 0.500 0.500 0.500
5 N 0.000 0.000 0.000

Energy comparison, zero being the most stable, in eV/atom: run P 0.000; run Q 0.063; run R 0.136.